A plane-wave DFT calculation with PBE was carried out for a geometry-optimized RbNaHo structure.

Final energy (Ha/atom): -0.0438
Spin magnetization (μB/atom): 0.139

The structure in POSCAR format:
```
RbNaHo
1.0
0.000 4.259 4.259
4.259 0.000 4.259
4.259 4.259 0.000
Rb Na Ho
1 1 1
direct
0.000 0.000 0.000 Rb
0.250 0.250 0.250 Na
0.750 0.750 0.750 Ho
```